A relaxed Fe2CuMo2 crystal, computed with PBE.

a = 6.910 Å, b = 6.910 Å, c = 2.806 Å
α = 90.00°, β = 90.00°, γ = 90.00°
Fractional coordinates of all 10 atoms:
Mo  0.168  0.668  0.500
Mo  0.668  0.832  0.500
Mo  0.832  0.332  0.500
Mo  0.332  0.168  0.500
Fe  0.368  0.868  0.000
Fe  0.868  0.632  0.000
Fe  0.632  0.132  0.000
Fe  0.132  0.368  0.000
Cu  0.000  0.000  0.000
Cu  0.500  0.500  0.000

Properties
- volume (Å³/atom) = 13.4
- SG = No. 127

A relaxed Te2AsRh crystal, computed with PBE.

a = 4.700 Å, b = 4.700 Å, c = 7.150 Å
α = 70.60°, β = 70.60°, γ = 48.21°
Fractional coordinates of all 4 atoms:
As  0.407  0.407  0.625
Te  0.109  0.109  0.919
Te  0.286  0.286  0.331
Rh  0.698  0.698  0.625

Properties
- volume (Å³/atom) = 27.4
- SG = No. 8
- formation energy without anion corrections (eV/atom) = -0.137

A relaxed Hf2Ir3Pt3 crystal, computed with PBE.

a = 4.032 Å, b = 3.996 Å, c = 7.905 Å
α = 90.00°, β = 90.00°, γ = 90.00°
Fractional coordinates of all 8 atoms:
Hf  0.000  0.000  0.746
Hf  0.000  0.000  0.254
Ir  0.500  0.000  0.500
Ir  0.000  0.500  0.000
Ir  0.000  0.500  0.500
Pt  0.500  0.500  0.748
Pt  0.500  0.500  0.252
Pt  0.500  0.000  0.000

Properties
- volume (Å³/atom) = 15.9
- SG = No. 47

Record order is preserved below.
Total energy: -41.47, -18.83, -72.14 eV/f.u.